Entry from the Alexandria database: Cr2GaAgSe after structural relaxation (GGA-PBE).

Results
For the electronic total energy, the calculation gives -5.108 eV/atom.

a = 4.7869 Å, b = 5.0178 Å, c = 4.7869 Å
α = 90.00°, β = 90.00°, γ = 90.00°
Each line ends with the local moment (μB).
Sites, in units of the cell vectors:
Cr  0.0000  0.0000  0.5000  3.74
Cr  0.5000  0.0000  0.0000  3.75
Ga  0.5000  0.5000  0.5000  -0.04
Se  0.0000  0.0000  0.0000  -0.07
Ag  0.0000  0.5000  0.0000  0.00

Entry from the Alexandria database: TaCrGa2Ag after structural relaxation (GGA-PBE).

Results
As for the formation energy: 559 kJ/mol of formula units.

a = 4.5320 Å, b = 4.7874 Å, c = 4.5320 Å
α = 90.00°, β = 90.00°, γ = 90.00°
Each line ends with the local moment (μB).
Sites, in units of the cell vectors:
Cr  0.0000  0.0000  0.0000  2.19
Ga  0.0000  0.0000  0.5000  0.01
Ga  0.5000  0.0000  0.0000  -0.04
Ag  0.0000  0.5000  0.0000  0.10
Ta  0.5000  0.5000  0.5000  0.27

Entry from the Alexandria database: Gd2CrAg after structural relaxation (GGA-PBE).

Results
The calculation puts the polymorph energy (0 for the lowest one) at 0 kJ/mol of formula units. As for the formation energy: 35 kJ/mol of formula units.

a = 3.6566 Å, b = 3.6566 Å, c = 7.2436 Å
α = 90.00°, β = 90.00°, γ = 90.00°
Each line ends with the local moment (μB).
Sites, in units of the cell vectors:
Cr  0.5000  0.5000  0.0000  3.29
Gd  0.0000  0.0000  0.7554  7.00
Gd  0.0000  0.0000  0.2446  7.00
Ag  0.5000  0.5000  0.5000  0.03

Entry from the Alexandria database: CrAg2Ge after structural relaxation (GGA-PBE).

Results
As for the formation energy: 164 kJ/mol of formula units.

a = 3.8079 Å, b = 3.8079 Å, c = 10.3545 Å
α = 79.40°, β = 79.40°, γ = 90.00°
Each line ends with the local moment (μB).
Sites, in units of the cell vectors:
Cr  0.5000  0.5000  0.0000  3.16
Cr  0.2500  0.7500  0.5000  3.17
Ge  0.0000  0.0000  0.0000  -0.17
Ge  0.7500  0.2500  0.5000  -0.17
Ag  0.6256  0.1250  0.2500  0.00
Ag  0.1244  0.6250  0.2500  0.00
Ag  0.3750  0.3744  0.7500  0.01
Ag  0.8750  0.8756  0.7500  0.01

Entry from the Alexandria database: CrAgGe2 after structural relaxation (GGA-PBE).

Results
The calculation puts the polymorph energy (0 for the lowest one) at 27 kJ/mol of formula units. As for the formation energy: 207 kJ/mol of formula units.

a = 4.4780 Å, b = 4.4780 Å, c = 4.4780 Å
α = 60.00°, β = 60.00°, γ = 60.00°
Sites, in units of the cell vectors:
Cr  0.0000  0.0000  0.0000
Ge  0.2500  0.2500  0.2500
Ge  0.7500  0.7500  0.7500
Ag  0.5000  0.5000  0.5000

Entry from the Alexandria database: CrAg3Ge after structural relaxation (GGA-PBE).

Results
The calculation puts the polymorph energy (0 for the lowest one) at 193 kJ/mol of formula units. As for the formation energy: 539 kJ/mol of formula units.

a = 4.9695 Å, b = 4.9695 Å, c = 4.9695 Å
α = 90.00°, β = 90.00°, γ = 90.00°
Each line ends with the local moment (μB).
Sites, in units of the cell vectors:
Cr  0.0000  0.0000  0.0000  3.83
Ge  0.5000  0.5000  0.5000  -0.08
Ag  0.0000  0.5000  0.0000  0.14
Ag  0.0000  0.0000  0.5000  0.16
Ag  0.5000  0.0000  0.0000  0.09

Entry from the Alexandria database: Cr2AgGe2 after structural relaxation (GGA-PBE).

Results
The calculation puts the polymorph energy (0 for the lowest one) at 0 kJ/mol of formula units. As for the formation energy: 85 kJ/mol of formula units.

a = 7.3402 Å, b = 7.3402 Å, c = 2.8479 Å
α = 90.00°, β = 90.00°, γ = 90.00°
Each line ends with the local moment (μB).
Sites, in units of the cell vectors:
Cr  0.1404  0.6404  0.5000  2.36
Cr  0.6404  0.8596  0.5000  2.38
Cr  0.8596  0.3596  0.5000  2.36
Cr  0.3596  0.1404  0.5000  2.38
Ge  0.3440  0.8440  0.0000  -0.12
Ge  0.8440  0.6560  0.0000  -0.12
Ge  0.6560  0.1560  0.0000  -0.12
Ge  0.1560  0.3440  0.0000  -0.12
Ag  0.0000  0.0000  0.0000  -0.01
Ag  0.5000  0.5000  0.0000  -0.01

Entry from the Alexandria database: CrAg3Ge after structural relaxation (GGA-PBE).

Results
The calculation puts the polymorph energy (0 for the lowest one) at 0 kJ/mol of formula units. As for the formation energy: 346 kJ/mol of formula units.

a = 4.8584 Å, b = 4.8584 Å, c = 4.8584 Å
α = 90.00°, β = 90.00°, γ = 90.00°
Each line ends with the local moment (μB).
Sites, in units of the cell vectors:
Cr  0.5000  0.5000  0.5000  4.19
Ge  0.0000  0.0000  0.0000  -0.02
Ag  0.0000  0.5000  0.0000  -0.01
Ag  0.0000  0.0000  0.5000  0.01
Ag  0.5000  0.0000  0.0000  0.00

Entry from the Alexandria database: CrAgGe2 after structural relaxation (GGA-PBE).

Results
The calculation puts the polymorph energy (0 for the lowest one) at 0 kJ/mol of formula units. As for the formation energy: 181 kJ/mol of formula units.

a = 7.2441 Å, b = 7.2441 Å, c = 5.8446 Å
α = 51.70°, β = 51.70°, γ = 90.00°
Each line ends with the local moment (μB).
Sites, in units of the cell vectors:
Cr  0.5000  0.5000  0.0000  3.34
Cr  0.2500  0.7500  0.5000  3.34
Ge  0.6202  0.1250  0.2500  -0.04
Ge  0.1298  0.6250  0.2500  -0.05
Ge  0.3750  0.3798  0.7500  -0.04
Ge  0.8750  0.8702  0.7500  -0.05
Ag  0.0000  0.0000  0.0000  0.03
Ag  0.7500  0.2500  0.5000  0.03

Entry from the Alexandria database: TaCr2AgGe after structural relaxation (GGA-PBE).

Results
As for the formation energy: 787 kJ/mol of formula units.

a = 4.8368 Å, b = 4.5659 Å, c = 4.8368 Å
α = 90.00°, β = 90.00°, γ = 90.00°
Each line ends with the local moment (μB).
Sites, in units of the cell vectors:
Cr  0.0000  0.0000  0.5000  3.56
Cr  0.5000  0.0000  0.0000  3.57
Ge  0.0000  0.5000  0.0000  -0.01
Ag  0.0000  0.0000  0.0000  0.13
Ta  0.5000  0.5000  0.5000  -1.26

Entry from the Alexandria database: ZnCrAgGe2 after structural relaxation (GGA-PBE).

Results
As for the formation energy: 295 kJ/mol of formula units.

a = 4.6230 Å, b = 5.2188 Å, c = 4.6230 Å
α = 90.00°, β = 90.00°, γ = 90.00°
Each line ends with the local moment (μB).
Sites, in units of the cell vectors:
Cr  0.0000  0.0000  0.0000  2.20
Ge  0.0000  0.0000  0.5000  -0.02
Ge  0.5000  0.0000  0.0000  -0.09
Zn  0.5000  0.5000  0.5000  0.03
Ag  0.0000  0.5000  0.0000  0.09

Entry from the Alexandria database: Cr3AgH after structural relaxation (GGA-PBE).

Results
The calculation puts the polymorph energy (0 for the lowest one) at 729 kJ/mol of formula units.

a = 5.0665 Å, b = 5.0665 Å, c = 5.0665 Å
α = 90.00°, β = 90.00°, γ = 90.00°
Each line ends with the local moment (μB).
Sites, in units of the cell vectors:
Cr  0.0000  0.5000  0.0000  3.97
Cr  0.0000  0.0000  0.5000  4.12
Cr  0.5000  0.0000  0.0000  3.84
Ag  0.0000  0.0000  0.0000  0.17
H  0.5000  0.5000  0.5000  -0.13